Entry 1:
Crystalline NdCdIr at its relaxed geometry, computed with PBE.

```
NdCdIr
1.0
0.000 3.368 3.368
3.368 0.000 3.368
3.368 3.368 0.000
Nd Cd Ir
1 1 1
Cartesian
0.000 0.000 0.000 Nd
3.368 3.368 3.368 Cd
1.684 1.684 1.684 Ir
```

Output
As for the formation energy: -0.3535 eV/atom. Its space group is F-43m (216).



Entry 2:
Crystalline Cu7Ag3 at its relaxed geometry, computed with PBE.

```
Cu7Ag3
1.0
7.000 -1.367 0.000
7.000 1.367 0.000
-1.991 0.000 7.189
Cu Ag
7 3
Cartesian
0.000 0.000 0.000 Cu
-0.948 0.000 3.550 Cu
2.755 0.000 0.663 Cu
5.276 0.000 1.460 Cu
6.794 0.000 5.915 Cu
10.537 0.000 2.725 Cu
9.487 0.000 6.655 Cu
1.601 0.000 4.463 Ag
4.292 0.000 5.002 Ag
7.900 0.000 2.085 Ag
```

Output
As for the formation energy: 0.0873 eV/atom. Its space group is Cm (8).



Entry 3:
Crystalline LiAcHo at its relaxed geometry, computed with PBE.

```
LiAcHo
1.0
0.000 3.786 3.786
3.786 0.000 3.786
3.786 3.786 0.000
Li Ac Ho
1 1 1
Cartesian
0.000 0.000 0.000 Li
5.678 5.678 5.678 Ac
3.786 3.786 3.786 Ho
```

Output
Its space group is F-43m (216).



Entry 4:
Crystalline PrMg2W2 at its relaxed geometry, computed with PBE.

```
PrMg2W2
1.0
-2.802 2.802 3.901
2.802 -2.802 3.901
2.802 2.802 -3.901
Pr Mg W
1 2 2
Cartesian
0.000 0.000 0.000 Pr
2.802 0.000 0.000 Mg
0.000 2.802 0.000 Mg
0.000 0.000 2.779 W
0.000 0.000 5.023 W
```

Output
Its space group is I4/mmm (139).



Entry 5:
Crystalline CsSmCdTe2Se at its relaxed geometry, computed with PBE.

```
CsSmCdTe2Se
1.0
2.265 -8.462 0.000
2.265 8.462 0.000
0.000 0.000 11.592
Cs Sm Cd Te Se
2 2 2 4 2
Cartesian
2.265 4.441 8.694 Cs
2.265 -4.441 2.898 Cs
2.265 0.000 0.000 Sm
2.265 0.000 5.796 Sm
2.265 7.828 2.898 Cd
2.265 -7.828 8.694 Cd
2.265 6.314 0.526 Te
2.265 6.314 5.270 Te
2.265 -6.314 6.322 Te
2.265 -6.314 11.066 Te
2.265 0.916 2.898 Se
2.265 -0.916 8.694 Se
```

Output
Its space group is Cmcm (63).



Entry 6:
Crystalline LiGaNiPb at its relaxed geometry, computed with PBE.

```
LiGaNiPb
1.0
0.000 3.200 3.200
3.200 0.000 3.200
3.200 3.200 0.000
Li Ga Ni Pb
1 1 1 1
Cartesian
0.000 0.000 0.000 Li
1.600 1.600 1.600 Ga
3.200 3.200 3.200 Ni
4.800 4.800 4.800 Pb
```

Output
Its space group is F-43m (216).



Entry 7:
Crystalline TmTcB4 at its relaxed geometry, computed with PBE.

```
TmTcB4
1.0
3.134 0.000 0.000
-1.567 2.714 0.000
0.000 0.000 6.904
Tm Tc B
1 1 4
Cartesian
0.000 0.000 0.000 Tm
0.000 0.000 3.452 Tc
0.000 1.809 1.876 B
0.000 1.809 5.028 B
1.567 0.905 1.876 B
1.567 0.905 5.028 B
```

Output
Its space group is P6/mmm (191).



Entry 8:
Crystalline YPuIr at its relaxed geometry, computed with PBE.

```
YPuIr
1.0
0.000 3.393 3.393
3.393 0.000 3.393
3.393 3.393 0.000
Y Pu Ir
1 1 1
Cartesian
0.000 0.000 0.000 Y
3.393 3.393 3.393 Pu
5.090 5.090 5.090 Ir
```

Output
As for the formation energy: -0.4984 eV/atom. Its space group is F-43m (216).



| no. | total energy (Ha/atom) |
| --- | --- |
| 1 | -0.1908 |
| 2 | -0.1235 |
| 3 | -0.0973 |
| 4 | -0.1934 |
| 5 | -0.1434 |
| 6 | -0.1344 |
| 7 | -0.2700 |
| 8 | -0.3790 |